BaTaAg: optimized geometry, PBE.

## Properties
E above lowest polymorph   687.8 meV/atom
Crystal system   hexagonal
Final energy   -4.525 eV per atom
Formation energy   1.018 eV/atom

Cell and atoms, written as extended XYZ:
```
3
Lattice="5.2737 0.0000 0.0000 -2.6369 4.5672 0.0000 0.0000 0.0000 3.1606" Properties=species:S:1:pos:R:3 pbc="T T T"
Ba 0.0000 0.0000 0.0000
Ta 2.6369 1.5224 1.5803
Ag 0.0000 3.0448 1.5803
```


BaTaAg: optimized geometry, PBE.

## Properties
E above lowest polymorph   195.6 meV/atom
Crystal system   triclinic
Final energy   -5.017 eV per atom
Formation energy   0.525 eV/atom

Cell and atoms, written as extended XYZ:
```
6
Lattice="3.2706 0.0000 0.0000 1.5803 5.9649 0.0000 0.8223 2.9159 8.2565" Properties=species:S:1:pos:R:3 pbc="T T T"
Ba 0.0000 0.0000 0.0000
Ba 1.1158 3.0179 2.2377
Ta 3.7042 5.9593 3.7615
Ta 5.2562 7.3997 5.2608
Ag 2.1671 4.0034 5.2757
Ag 3.6632 5.9457 7.0990
```


BaTa2Ag: optimized geometry, PBE.

## Properties
E above lowest polymorph   718.2 meV/atom
Crystal system   tetragonal
Final energy   -5.903 eV per atom
Formation energy   1.217 eV/atom

Cell and atoms, written as extended XYZ:
```
8
Lattice="-2.4796 2.4796 10.2664 2.4796 -2.4796 10.2664 2.4796 2.4796 -10.2664" Properties=species:S:1:pos:R:3 pbc="T T T"
Ba 2.4796 1.2398 2.5666
Ba 0.0000 1.2398 7.6998
Ta 0.0000 0.0000 0.0000
Ta 1.2398 1.2398 -5.1332
Ta 1.2398 -1.2398 5.1332
Ta 0.0000 2.4796 0.0000
Ag 2.4796 -1.2398 7.6998
Ag 0.0000 3.7194 2.5666
```


BaTbAg2: optimized geometry, PBE.

## Properties
Crystal system   tetragonal
Final energy   -3.310 eV per atom
Formation energy   -0.246 eV/atom

Cell and atoms, written as extended XYZ:
```
4
Lattice="3.8404 0.0000 0.0000 0.0000 3.8404 0.0000 0.0000 0.0000 7.8574" Properties=species:S:1:pos:R:3 pbc="T T T"
Ba 0.0000 0.0000 0.0000
Tb 0.0000 0.0000 3.9287
Ag 1.9202 1.9202 2.3891
Ag 1.9202 1.9202 5.4683
```


Ba2TbAg: optimized geometry, PBE.

## Properties
Crystal system   trigonal
Final energy   -2.514 eV per atom
Formation energy   0.318 eV/atom

Cell and atoms, written as extended XYZ:
```
4
Lattice="1.9612 1.1323 12.2984 -1.9612 1.1323 12.2984 0.0000 -2.2645 12.2984" Properties=species:S:1:pos:R:3 pbc="T T T"
Ba 0.0000 0.0000 3.6565
Ba 0.0000 0.0000 33.2386
Tb 0.0000 0.0000 0.0000
Ag 0.0000 0.0000 18.4475
```


BaTb2Ag: optimized geometry, PBE.

## Properties
E above lowest polymorph   216.3 meV/atom
Crystal system   trigonal
Final energy   -3.282 eV per atom
Formation energy   0.227 eV/atom

Cell and atoms, written as extended XYZ:
```
4
Lattice="1.8379 1.0611 11.7189 -1.8379 1.0611 11.7189 0.0000 -2.1222 11.7189" Properties=species:S:1:pos:R:3 pbc="T T T"
Ba 0.0000 0.0000 0.0000
Tb 0.0000 0.0000 3.6493
Tb 0.0000 0.0000 31.5073
Ag 0.0000 0.0000 17.5783
```


BaTb2Ag: optimized geometry, PBE.

## Properties
E above lowest polymorph   0.0 meV/atom
Crystal system   tetragonal
Final energy   -3.498 eV per atom
Formation energy   0.011 eV/atom

Cell and atoms, written as extended XYZ:
```
4
Lattice="3.7468 0.0000 0.0000 0.0000 3.7468 0.0000 0.0000 0.0000 9.6183" Properties=species:S:1:pos:R:3 pbc="T T T"
Ba 0.0000 0.0000 0.0000
Tb 1.8734 1.8734 3.1091
Tb 1.8734 1.8734 6.5091
Ag 0.0000 0.0000 4.8091
```


BaTb4Ag5: optimized geometry, PBE.

## Properties
Crystal system   tetragonal
Final energy   -3.745 eV per atom
Formation energy   -0.275 eV/atom

Cell and atoms, written as extended XYZ:
```
10
Lattice="3.7139 0.0000 0.0000 0.0000 3.7139 0.0000 0.0000 0.0000 18.8975" Properties=species:S:1:pos:R:3 pbc="T T T"
Ba 0.0000 0.0000 0.0000
Tb 0.0000 0.0000 4.0171
Tb 0.0000 0.0000 7.6544
Tb 0.0000 0.0000 11.2432
Tb 0.0000 0.0000 14.8804
Ag 1.8569 1.8569 2.4190
Ag 1.8569 1.8569 5.8365
Ag 1.8569 1.8569 9.4488
Ag 1.8569 1.8569 13.0610
Ag 1.8569 1.8569 16.4785
```